A geometry-optimized InGeAu2 structure. Source: Alexandria, functional PBE.

Unit cell a=9.1873 b=9.1873 c=9.1873 alpha=151.37 beta=151.37 gamma=40.93
Last column: nearest neighbours and their distance in Å.
Atoms (fractional coordinates):
In (0.0000, 0.0000, 0.0000)  4 Au 2.77
In (0.7500, 0.2500, 0.5000)  4 Au 2.77
Ge (0.2500, 0.7500, 0.5000)  4 Au 2.61
Ge (0.5000, 0.5000, 0.0000)  4 Au 2.61
Au (0.1651, 0.6250, 0.0401)  2 Ge 2.61, 2 In 2.77
Au (0.3750, 0.4151, 0.5401)  2 Ge 2.61, 2 In 2.77
Au (0.5849, 0.1250, 0.9599)  2 Ge 2.61, 2 In 2.77
Au (0.8750, 0.8349, 0.4599)  2 Ge 2.61, 2 In 2.77

Properties
Formation energy: -0.016 eV per atom
SG: I-42d